Record 1
Below is a geometry-optimized NdDyTl2 structure, with properties calculated at the PBE level.

Output
Mass density   9.67 g/cm3
Offset from the most stable computed form   0.45 eV/f.u.
DFT formation energy   -0.2604 eV/atom
Total DFT energy (no corrections)   -3.79 eV per atom

a b c (Å): 3.8185 3.8185 29.1772
angles (deg): 90.00 90.00 120.00
Space group R-3m (No. 166, hexagonal axes)
Symmetry-distinct sites (fractional):
Nd  0.0000  0.0000  0.0000 x3
Dy  0.0000  0.0000  0.5000 x3
Tl  0.0000  0.0000  0.2477 x6


Record 2
Below is a geometry-optimized Nd5YIn3 structure, with properties calculated at the PBE level.

Output
Mass density   6.96 g/cm3
DFT formation energy   -0.3511 eV/atom
Total DFT energy (no corrections)   -4.63 eV per atom

a b c (Å): 9.5870 9.5870 6.9238
angles (deg): 90.00 90.00 120.00
Space group P6_3/mcm (No. 193)
Symmetry-distinct sites (fractional):
Nd  0.0000  0.3401  0.2500 x6
Nd  0.3333  0.6667  0.0000 x4
Y  0.0000  0.0000  0.0000 x2
In  0.0000  0.3228  0.7500 x6


Record 3
Below is a geometry-optimized NiP structure, with properties calculated at the PBE level.

Output
Mass density   5.53 g/cm3
DFT formation energy   -0.3493 eV/atom
Total DFT energy (no corrections)   -5.94 eV per atom

a b c (Å): 3.3502 7.4576 4.3104
angles (deg): 90.00 90.00 90.00
Space group Cmcm (No. 63)
Symmetry-distinct sites (fractional):
Ni  0.0000  0.0945  0.2500 x4
P  0.0000  0.2059  0.7500 x4


Record 4
Below is a geometry-optimized RbZnCoP2 structure, with properties calculated at the PBE level.

Output
Mass density   3.67 g/cm3
Offset from the most stable computed form   0.00 eV/f.u.
DFT formation energy   1.1603 eV/atom
Total DFT energy (no corrections)   -2.87 eV per atom

a b c (Å): 4.7215 4.7215 5.5107
angles (deg): 90.00 90.00 90.00
Space group P4/mmm (No. 123)
Symmetry-distinct sites (fractional):
Rb  0.0000  0.0000  0.0000 x1
Zn  0.0000  0.0000  0.5000 x1
Co  0.5000  0.5000  0.0000 x1
P  0.0000  0.5000  0.5000 x2


Record 5
Below is a geometry-optimized Pr4OsBr2N structure, with properties calculated at the PBE level.

Output
Mass density   7.24 g/cm3
Energy relative to the elements, uncorrected   -0.9506 eV/atom
Total DFT energy (no corrections)   -6.20 eV per atom

a b c (Å): 6.9460 3.9833 8.0199
angles (deg): 90.00 106.37 90.00
Space group P2/m (No. 10)
Symmetry-distinct sites (fractional):
Pr  0.2166  0.0000  0.1823 x2
Pr  0.2372  0.5000  0.8101 x2
Os  0.5000  0.0000  0.0000 x1
Br  0.0000  0.0000  0.5000 x1
Br  0.5000  0.5000  0.5000 x1
N  0.0000  0.5000  0.0000 x1


Record 6
Below is a geometry-optimized UInTc structure, with properties calculated at the PBE level.

Output
Mass density   12.17 g/cm3
Offset from the most stable computed form   0.11 eV/f.u.
DFT formation energy   0.0506 eV/atom
Total DFT energy (no corrections)   -8.08 eV per atom

a b c (Å): 3.1918 3.1918 12.0738
angles (deg): 90.00 90.00 90.00
Space group I4mm (No. 107)
Symmetry-distinct sites (fractional):
U  0.0000  0.0000  0.0000 x2
In  0.0000  0.0000  0.7128 x2
Tc  0.0000  0.0000  0.3647 x2


Record 7
Below is a geometry-optimized Fe3Ir structure, with properties calculated at the PBE level.

Output
Mass density   11.62 g/cm3
DFT formation energy   0.0068 eV/atom
Total DFT energy (no corrections)   -8.56 eV per atom

a b c (Å): 2.6113 4.1283 4.8468
angles (deg): 90.00 100.22 90.00
Space group P2/m (No. 10)
Symmetry-distinct sites (fractional):
Fe  0.0000  0.0000  0.0000 x1
Fe  0.2337  0.5000  0.7571 x2
Ir  0.5000  0.0000  0.5000 x1


Record 8
Below is a geometry-optimized Er2ThZrP4 structure, with properties calculated at the PBE level.

Output
Mass density   7.40 g/cm3
DFT formation energy   -1.4971 eV/atom
Total DFT energy (no corrections)   -7.34 eV per atom

a b c (Å): 6.8529 3.9592 6.8585
angles (deg): 90.00 109.40 90.00
Space group P2/m (No. 10)
Symmetry-distinct sites (fractional):
Er  0.0000  0.0000  0.0000 x1
Er  0.0000  0.5000  0.5000 x1
Th  0.5000  0.0000  0.5000 x1
Zr  0.5000  0.5000  0.0000 x1
P  0.2465  0.5000  0.2369 x2
P  0.2550  0.0000  0.7624 x2


Record 9
Below is a geometry-optimized YLuHfTh structure, with properties calculated at the PBE level.

Output
Mass density   9.83 g/cm3
DFT formation energy   0.1873 eV/atom
Total DFT energy (no corrections)   -6.90 eV per atom

a b c (Å): 7.6958 7.6958 7.6958
angles (deg): 90.00 90.00 90.00
Space group F-43m (No. 216)
Symmetry-distinct sites (fractional):
Y  0.0000  0.0000  0.0000 x4
Lu  0.2500  0.2500  0.7500 x4
Hf  0.2500  0.2500  0.2500 x4
Th  0.0000  0.0000  0.5000 x4


Record 10
Below is a geometry-optimized LaCoAu3 structure, with properties calculated at the PBE level.

Output
Mass density   11.42 g/cm3
DFT formation energy   -0.1197 eV/atom
Total DFT energy (no corrections)   -4.49 eV per atom

a b c (Å): 4.8592 4.8592 4.8592
angles (deg): 90.00 90.00 90.00
Space group Pm-3m (No. 221)
Symmetry-distinct sites (fractional):
La  0.0000  0.0000  0.0000 x1
Co  0.5000  0.5000  0.5000 x1
Au  0.0000  0.5000  0.5000 x3


Record 11
Below is a geometry-optimized Pu6Hg23 structure, with properties calculated at the PBE level.

Output
Mass density   13.33 g/cm3
DFT formation energy   -0.0747 eV/atom
Total DFT energy (no corrections)   -3.28 eV per atom

a b c (Å): 14.4684 14.4684 14.4684
angles (deg): 90.00 90.00 90.00
Space group Fm-3m (No. 225)
Symmetry-distinct sites (fractional):
Pu  0.0000  0.0000  0.2308 x24
Hg  0.0000  0.0000  0.0000 x4
Hg  0.0000  0.2500  0.2500 x24
Hg  0.1147  0.1147  0.3853 x32
Hg  0.1438  0.1438  0.1438 x32


Record 12
Below is a geometry-optimized Sm3RuI structure, with properties calculated at the PBE level.

Output
Mass density   7.41 g/cm3
Energy relative to the elements, uncorrected   -0.4393 eV/atom
Offset from the most stable computed form   0.16 eV/f.u.
Total DFT energy (no corrections)   -5.44 eV per atom

a b c (Å): 4.1612 7.2843 10.0389
angles (deg): 90.00 90.00 90.00
Space group Pmmn (No. 59, origin choice 2)
Symmetry-distinct sites (fractional):
Sm  0.2500  0.0012  0.1436 x4
Sm  0.2500  0.7500  0.6190 x2
Ru  0.2500  0.7500  0.9020 x2
I  0.2500  0.2500  0.6419 x2


Record 13
Below is a geometry-optimized YTlFeCo structure, with properties calculated at the PBE level.

Output
Mass density   8.83 g/cm3
Offset from the most stable computed form   0.32 eV/f.u.
DFT formation energy   0.0954 eV/atom
Total DFT energy (no corrections)   -6.00 eV per atom

a b c (Å): 3.8805 4.1392 9.5533
angles (deg): 90.00 90.00 90.00
Space group Amm2 (No. 38)
Symmetry-distinct sites (fractional):
Y  0.0000  0.0000  0.0000 x2
Tl  0.5000  0.0000  0.7019 x2
Fe  0.5000  0.0000  0.4102 x2
Co  0.0000  0.0000  0.2974 x2


Record 14
Below is a geometry-optimized TcPSe4 structure, with properties calculated at the PBE level.

Output
Mass density   5.95 g/cm3
Energy relative to the elements, uncorrected   1.2178 eV/atom
Total DFT energy (no corrections)   -3.73 eV per atom

a b c (Å): 7.9181 7.9181 7.9181
angles (deg): 90.00 90.00 90.00
Space group F-43m (No. 216)
Symmetry-distinct sites (fractional):
Tc  0.0000  0.0000  0.0000 x4
P  0.2500  0.2500  0.7500 x4
Se  0.1252  0.1252  0.3748 x16


Record 15
Below is a geometry-optimized YPbBr2 structure, with properties calculated at the PBE level.

Output
Mass density   5.94 g/cm3
Energy relative to the elements, uncorrected   -1.0251 eV/atom
Offset from the most stable computed form   0.00 eV/f.u.
Total DFT energy (no corrections)   -4.40 eV per atom

a b c (Å): 3.6892 3.6892 32.4172
angles (deg): 90.00 90.00 120.00
Space group R-3m (No. 166, hexagonal axes)
Symmetry-distinct sites (fractional):
Y  0.0000  0.0000  0.0000 x3
Pb  0.0000  0.0000  0.5000 x3
Br  0.0000  0.0000  0.3933 x6


Record 16
Below is a geometry-optimized LiNpPb2O6 structure, with properties calculated at the PBE level.

Output
Mass density   8.45 g/cm3
Energy relative to the elements, uncorrected   -1.9192 eV/atom
Total DFT energy (no corrections)   -7.12 eV per atom

a b c (Å): 5.8664 6.0113 10.2109
angles (deg): 90.00 124.58 90.00
Space group P2_1/c (No. 14)
Symmetry-distinct sites (fractional):
Li  0.0000  0.0000  0.0000 x2
Np  0.5000  0.0000  0.5000 x2
Pb  0.2241  0.0500  0.7386 x4
O  0.1782  0.0350  0.2570 x4
O  0.2309  0.6786  0.0240 x4
O  0.3659  0.2261  0.0428 x4


Record 17
Below is a geometry-optimized Mn3AlH structure, with properties calculated at the PBE level.

Output
Mass density   6.15 g/cm3
Total DFT energy (no corrections)   -6.76 eV per atom

a b c (Å): 4.6818 6.4772 6.8649
angles (deg): 90.00 90.00 90.00
Space group Pnma (No. 62)
Symmetry-distinct sites (fractional):
Mn  0.0172  0.0836  0.1423 x8
Mn  0.2108  0.2500  0.7851 x4
Al  0.0000  0.0000  0.5000 x4
H  0.0927  0.7500  0.0606 x4


Record 18
Below is a geometry-optimized Ru3Pt2W3 structure, with properties calculated at the PBE level.

Output
Mass density   17.25 g/cm3
DFT formation energy   -0.1574 eV/atom
Total DFT energy (no corrections)   -10.00 eV per atom

a b c (Å): 3.9308 3.9425 7.7349
angles (deg): 90.00 90.00 90.00
Space group Pmmm (No. 47)
Symmetry-distinct sites (fractional):
Ru  0.0000  0.0000  0.0000 x1
Ru  0.0000  0.0000  0.5000 x1
Ru  0.5000  0.5000  0.0000 x1
Pt  0.5000  0.0000  0.2479 x2
W  0.0000  0.5000  0.2449 x2
W  0.5000  0.5000  0.5000 x1


Record 19
Below is a geometry-optimized CdSiTcO2 structure, with properties calculated at the PBE level.

Output
Mass density   5.26 g/cm3
Energy relative to the elements, uncorrected   0.9083 eV/atom
Total DFT energy (no corrections)   -4.42 eV per atom

a b c (Å): 4.0328 4.0328 5.2514
angles (deg): 90.00 90.00 90.00
Space group P4/mmm (No. 123)
Symmetry-distinct sites (fractional):
Cd  0.0000  0.0000  0.0000 x1
Si  0.0000  0.0000  0.5000 x1
Tc  0.5000  0.5000  0.5000 x1
O  0.0000  0.5000  0.0000 x2


Record 20
Below is a geometry-optimized BaCd13 structure, with properties calculated at the PBE level.

Output
Mass density   7.77 g/cm3
DFT formation energy   -0.1358 eV/atom
Total DFT energy (no corrections)   -1.12 eV per atom

a b c (Å): 13.9811 13.9811 13.9811
angles (deg): 90.00 90.00 90.00
Space group Fm-3c (No. 226)
Symmetry-distinct sites (fractional):
Ba  0.2500  0.2500  0.2500 x8
Cd  0.0000  0.0000  0.0000 x8
Cd  0.0000  0.1221  0.1798 x96


Record 21
Below is a geometry-optimized ReOs3 structure, with properties calculated at the PBE level.

Output
Mass density   20.73 g/cm3
Offset from the most stable computed form   2.74 eV/f.u.
DFT formation energy   0.6014 eV/atom
Total DFT energy (no corrections)   -10.93 eV per atom

a b c (Å): 4.3718 4.3718 21.9821
angles (deg): 90.00 90.00 120.00
Space group R-3m (No. 166, hexagonal axes)
Symmetry-distinct sites (fractional):
Re  0.0000  0.0000  0.1113 x6
Os  0.0000  0.0000  0.0000 x3
Os  0.0000  0.0000  0.2314 x6
Os  0.0000  0.0000  0.3706 x6
Os  0.0000  0.0000  0.5000 x3


Record 22
Below is a geometry-optimized CeSm5Ru3 structure, with properties calculated at the PBE level.

Output
Mass density   7.47 g/cm3
DFT formation energy   -0.1976 eV/atom
Total DFT energy (no corrections)   -6.57 eV per atom

a b c (Å): 12.3850 9.2115 9.8554
angles (deg): 90.00 109.01 90.00
Space group C2/m (No. 12)
Symmetry-distinct sites (fractional):
Ce  0.0813  0.0000  0.2882 x4
Sm  0.0000  0.3034  0.0000 x4
Sm  0.0351  0.5000  0.3489 x4
Sm  0.1862  0.1937  0.6507 x8
Sm  0.2348  0.0000  0.0434 x4
Ru  0.0000  0.0000  0.0000 x2
Ru  0.0000  0.0000  0.5000 x2
Ru  0.1597  0.5000  0.1664 x4
Ru  0.2153  0.5000  0.6230 x4


Volume? In order: 122.81, 275.57, 26.92, 122.85, 212.90, 61.50, 51.42, 175.52, 113.95, 114.73, 757.18, 152.15, 76.72, 124.11, 127.37, 148.23, 52.04, 119.87, 85.41, 341.61, 60.64, 265.75 Å³/f.u..